Density functional theory data (PBE) for a relaxed PmPS4Br crystal.

Cell: 8.1098 8.1098 7.1356 Å, 104.50 104.50 66.08°
Fractional positions:
Pm (0.1750, 0.1750, 0.0691)
Pm (0.8250, 0.8250, 0.9309)
P (0.3380, 0.3380, 0.7245)
P (0.6620, 0.6620, 0.2755)
S (0.0937, 0.4458, 0.8320)
S (0.3393, 0.3393, 0.4471)
S (0.4458, 0.0937, 0.8320)
S (0.4979, 0.4979, 0.8514)
S (0.5021, 0.5021, 0.1486)
S (0.5542, 0.9063, 0.1680)
S (0.6607, 0.6607, 0.5529)
S (0.9063, 0.5542, 0.1680)
Br (0.0140, 0.0140, 0.2583)
Br (0.9860, 0.9860, 0.7417)

- Calculated density: 3.12 Mg/m³
- ΔE_f (raw): -0.8911 eV/atom
- Space-group type: C2/m (12)

Density functional theory data (PBE) for a relaxed TlWCl2 crystal.

Cell: 9.1593 9.1593 9.1593 Å, 20.94 20.94 20.94°
Fractional positions:
Tl (0.0000, 0.0000, 0.0000)
W (0.7501, 0.7501, 0.7501)
Cl (0.2578, 0.2578, 0.2578)
Cl (0.4728, 0.4728, 0.4728)

- Calculated density: 8.87 Mg/m³
- ΔE_f (raw): 0.1324 eV/atom
- Space-group type: R3m (160)
- Energy relative to the lowest polymorph listed for this composition: 139.2 meV per atom

Density functional theory data (PBE) for a relaxed Mg2InTc crystal.

Cell: 6.0358 6.0358 6.0358 Å, 102.41 102.41 124.76°
Fractional positions:
Mg (0.1060, 0.6250, 0.9810)
Mg (0.3750, 0.3560, 0.4810)
Mg (0.6440, 0.1250, 0.0190)
Mg (0.8750, 0.8940, 0.5190)
In (0.2500, 0.7500, 0.5000)
In (0.5000, 0.5000, 0.0000)
Tc (0.0000, 0.0000, 0.0000)
Tc (0.7500, 0.2500, 0.5000)

- Calculated density: 5.42 Mg/m³
- DFT formation energy: 0.47 eV per atom
- Space-group type: I-42d (122)

Density functional theory data (PBE) for a relaxed K2SnPb crystal.

Cell: 6.7415 6.7415 6.7415 Å, 139.28 78.24 116.48°
Fractional positions:
K (0.1883, 0.0000, 0.1883)
K (0.8117, 0.0000, 0.8117)
Sn (0.7287, 0.2287, 0.5000)
Pb (0.4738, 0.4738, 0.0000)

- Calculated density: 3.85 Mg/m³
- DFT formation energy: -0.15 eV per atom
- Space-group type: Imm2 (44)
- Energy relative to the lowest polymorph listed for this composition: 0.0 meV per atom

Density functional theory data (PBE) for a relaxed TlZnMo2 crystal.

Cell: 9.4438 9.4438 9.4438 Å, 17.96 17.96 17.96°
Fractional positions:
Tl (0.0000, 0.0000, 0.0000)
Zn (0.5000, 0.5000, 0.5000)
Mo (0.2453, 0.2453, 0.2453)
Mo (0.7547, 0.7547, 0.7547)

- Calculated density: 10.96 Mg/m³
- DFT formation energy: 0.64 eV per atom
- Space-group type: R-3m (166)
- Energy relative to the lowest polymorph listed for this composition: 301.1 meV per atom

Density functional theory data (PBE) for a relaxed LaAl2Ag crystal.

Cell: 5.7487 5.7487 2.9529 Å, 90.00 90.00 112.18°
Fractional positions:
La (0.0000, 0.0000, 0.0000)
Al (0.0000, 0.5000, 0.5000)
Al (0.5000, 0.0000, 0.5000)
Ag (0.5000, 0.5000, 0.0000)

- Calculated density: 5.53 Mg/m³
- DFT formation energy: 0.02 eV per atom
- Space-group type: Cmmm (65)
- Energy relative to the lowest polymorph listed for this composition: 413.3 meV per atom

Density functional theory data (PBE) for a relaxed LaAg2Au crystal.

Cell: 7.6103 7.6103 5.4470 Å, 99.51 99.51 138.49°
Fractional positions:
La (0.1310, 0.8690, 0.7500)
La (0.8690, 0.1310, 0.2500)
Ag (0.2456, 0.3956, 0.8954)
Ag (0.3956, 0.2456, 0.3954)
Ag (0.6044, 0.7544, 0.6046)
Ag (0.7544, 0.6044, 0.1046)
Au (0.2504, 0.7496, 0.2500)
Au (0.7496, 0.2504, 0.7500)

- Calculated density: 9.90 Mg/m³
- DFT formation energy: -0.40 eV per atom
- Space-group type: C2/c (15)
- Energy relative to the lowest polymorph listed for this composition: 19.5 meV per atom

Density functional theory data (PBE) for a relaxed YBeCd2 crystal.

Cell: 5.8001 5.8001 5.8001 Å, 44.12 44.12 44.12°
Fractional positions:
Y (0.0000, 0.0000, 0.0000)
Be (0.5000, 0.5000, 0.5000)
Cd (0.2149, 0.2149, 0.2149)
Cd (0.7851, 0.7851, 0.7851)

- Calculated density: 6.24 Mg/m³
- DFT formation energy: 0.04 eV per atom
- Space-group type: R-3m (166)

Density functional theory data (PBE) for a relaxed Mg2Cu9O13 crystal.

Cell: 5.1376 5.1376 16.1952 Å, 98.11 98.11 33.26°
Fractional positions:
Mg (0.2216, 0.2216, 0.2265)
Mg (0.7784, 0.7784, 0.7735)
Cu (0.0009, 0.0009, 0.6699)
Cu (0.0587, 0.0587, 0.8764)
Cu (0.2452, 0.2452, 0.5822)
Cu (0.3501, 0.3501, 0.9593)
Cu (0.5000, 0.5000, 0.5000)
Cu (0.6499, 0.6499, 0.0407)
Cu (0.7548, 0.7548, 0.4178)
Cu (0.9413, 0.9413, 0.1236)
Cu (0.9991, 0.9991, 0.3301)
O (0.0000, 0.0000, 0.0000)
O (0.1355, 0.1355, 0.4701)
O (0.1347, 0.1347, 0.7735)
O (0.3047, 0.3047, 0.0718)
O (0.3624, 0.3624, 0.6867)
O (0.3982, 0.3982, 0.3865)
O (0.4083, 0.4083, 0.8535)
O (0.5917, 0.5917, 0.1465)
O (0.6018, 0.6018, 0.6135)
O (0.6376, 0.6376, 0.3133)
O (0.6953, 0.6953, 0.9282)
O (0.8653, 0.8653, 0.2265)
O (0.8645, 0.8645, 0.5299)

- Calculated density: 5.93 Mg/m³
- ΔE_f (raw): -0.7814 eV/atom
- Space-group type: C2/m (12)

Density functional theory data (PBE) for a relaxed TaRhBr crystal.

Cell: 4.4382 4.4382 3.0435 Å, 90.00 90.00 120.00°
Fractional positions:
Ta (0.0000, 0.0000, 0.0000)
Rh (0.3333, 0.6667, 0.5000)
Br (0.6667, 0.3333, 0.0000)

- Calculated density: 11.63 Mg/m³
- ΔE_f (raw): 0.3109 eV/atom
- Space-group type: P-6m2 (187)
- Energy relative to the lowest polymorph listed for this composition: 342.8 meV per atom

Density functional theory data (PBE) for a relaxed Fe2Mo3 crystal.

Cell: 4.0785 4.0785 5.1567 Å, 90.00 90.00 120.00°
Fractional positions:
Fe (0.3333, 0.6667, 0.3596)
Fe (0.6667, 0.3333, 0.6404)
Mo (0.0000, 0.0000, 0.5000)
Mo (0.3333, 0.6667, 0.8667)
Mo (0.6667, 0.3333, 0.1333)

- Calculated density: 8.93 Mg/m³
- DFT formation energy: 0.47 eV per atom
- Space-group type: P-3m1 (164)
- Energy relative to the lowest polymorph listed for this composition: 219.2 meV per atom

Density functional theory data (PBE) for a relaxed ZrNiAs2 crystal.

Cell: 5.6936 5.6936 5.6936 Å, 106.28 106.28 116.06°
Fractional positions:
Zr (0.0000, 0.0000, 0.0000)
Zr (0.7500, 0.2500, 0.5000)
Ni (0.2500, 0.7500, 0.5000)
Ni (0.5000, 0.5000, 0.0000)
As (0.1798, 0.6250, 0.0548)
As (0.3750, 0.4298, 0.5548)
As (0.5702, 0.1250, 0.9452)
As (0.8750, 0.8202, 0.4452)

- Calculated density: 7.08 Mg/m³
- DFT formation energy: -0.46 eV per atom
- Space-group type: I-42d (122)